# 1
A plane-wave DFT calculation with GGA-PBE was carried out for an optimized crystal structure of Y2TaSb.

For the uncorrected formation energy, the calculation gives 0.049 eV/atom. Its density of states at the Fermi level is 22.3 states/eV/cell.

The space group is R-3m (No. 166, hexagonal axes) and the conventional cell measures 3.4093, 3.4093 and 30.4953 Å, with angles of 90.00, 90.00 and 120.00 degrees. The asymmetric unit holds Y at (0.0000, 0.0000, 0.2481), Ta at (0.0000, 0.0000, 0.5000) and Sb at (0.0000, 0.0000, 0.0000).

# 2
A plane-wave DFT calculation with GGA-PBE was carried out for an optimized crystal structure of RbTlGe.

Its density of states at the Fermi level is 0.4 states/eV/cell. For the formation energy, the calculation gives -0.027 eV/atom.

The space group is P3m1 (No. 156) and the conventional cell measures 4.7190, 4.7190 and 5.8218 Å, with angles of 90.00, 90.00 and 120.00 degrees. The asymmetric unit holds Rb at (0.0000, 0.0000, 0.0000), Tl at (0.6667, 0.3333, 0.4768) and Ge at (0.3333, 0.6667, 0.5392).

# 3
A plane-wave DFT calculation with GGA-PBE was carried out for an optimized crystal structure of Nd12TlSn4N3.

For the uncorrected formation energy, the calculation gives -0.651 eV/atom. Its density of states at the Fermi level is 21.7 states/eV/cell.

The space group is Im-3m (No. 229) and the conventional cell measures 10.4074, 10.4074 and 10.4074 Å, with angles of 90.00, 90.00 and 90.00 degrees. The asymmetric unit holds Nd at (0.0000, 0.0000, 0.2760), Nd at (0.0000, 0.2500, 0.5000), Tl at (0.0000, 0.0000, 0.0000), Sn at (0.2500, 0.2500, 0.2500) and N at (0.0000, 0.0000, 0.5000).

# 4
A plane-wave DFT calculation with GGA-PBE was carried out for an optimized crystal structure of Pm4Nd8Y3.

Its density of states at the Fermi level is 74.3 states/eV/cell. For the formation energy, the calculation gives 0.127 eV/atom.

The space group is R-3m (No. 166, hexagonal axes) and the conventional cell measures 7.0979, 7.0979 and 36.2211 Å, with angles of 90.00, 90.00 and 120.00 degrees. The asymmetric unit holds Pm at (0.0000, 0.0000, 0.0000), Pm at (0.0000, 0.0000, 0.1637), Pm at (0.0000, 0.0000, 0.5000), Nd at (0.0000, 0.0000, 0.2539), Nd at (0.0014, 0.5007, 0.2509) and Y at (0.0000, 0.5000, 0.0000).

# 5
A plane-wave DFT calculation with GGA-PBE was carried out for an optimized crystal structure of CaCrGe2Ru.

Its density of states at the Fermi level is 6.8 states/eV/cell. For the formation energy, the calculation gives 0.860 eV/atom.

The space group is P4/mmm (No. 123) and the conventional cell measures 4.6298, 4.6298 and 5.1115 Å, with angles of 90.00, 90.00 and 90.00 degrees. The asymmetric unit holds Ca at (0.0000, 0.0000, 0.0000), Cr at (0.0000, 0.0000, 0.5000), Ge at (0.0000, 0.5000, 0.5000) and Ru at (0.5000, 0.5000, 0.0000).

# 6
A plane-wave DFT calculation with GGA-PBE was carried out for an optimized crystal structure of ZrScHg2.

The calculation puts the energy above the lowest structure with this stoichiometry at 98 meV/atom. Its density of states at the Fermi level is 8.2 states/eV/cell. For the formation energy, the calculation gives -0.184 eV/atom.

The space group is Cm (No. 8) and the conventional cell measures 11.3685, 3.2291 and 5.2728 Å, with angles of 90.00, 113.73 and 90.00 degrees. The asymmetric unit holds Zr at (0.0000, 0.0000, 0.0000), Sc at (0.2555, 0.5000, 0.3794), Hg at (0.0076, 0.5000, 0.5005) and Hg at (0.2499, 0.0000, 0.8871).

# 7
A plane-wave DFT calculation with GGA-PBE was carried out for an optimized crystal structure of Sr2CdAgBi.

Its density of states at the Fermi level is 2.6 states/eV/cell. For the formation energy, the calculation gives 0.023 eV/atom.

The space group is P4/mmm (No. 123) and the conventional cell measures 6.3753, 6.3753 and 5.7293 Å, with angles of 90.00, 90.00 and 90.00 degrees. The asymmetric unit holds Sr at (0.0000, 0.5000, 0.0000), Cd at (0.0000, 0.0000, 0.5000), Ag at (0.5000, 0.5000, 0.5000) and Bi at (0.0000, 0.0000, 0.0000).

# 8
A plane-wave DFT calculation with GGA-PBE was carried out for an optimized crystal structure of La2ReMo.

The calculation puts the energy above the lowest structure with this stoichiometry at 412 meV/atom. Its density of states at the Fermi level is 19.4 states/eV/cell. For the formation energy, the calculation gives 0.591 eV/atom.

The space group is F-43m (No. 216) and the conventional cell measures 7.0136, 7.0136 and 7.0136 Å, with angles of 90.00, 90.00 and 90.00 degrees. The asymmetric unit holds La at (0.0000, 0.0000, 0.0000), La at (0.2500, 0.2500, 0.2500), Re at (0.2500, 0.2500, 0.7500) and Mo at (0.0000, 0.0000, 0.5000).

# 9
A plane-wave DFT calculation with GGA-PBE was carried out for an optimized crystal structure of MoRuW2.

The calculation puts the energy above the lowest structure with this stoichiometry at 133 meV/atom. Its density of states at the Fermi level is 8.6 states/eV/cell. For the formation energy, the calculation gives 0.246 eV/atom.

The space group is I-4m2 (No. 119) and the conventional cell measures 3.9257, 3.9257 and 8.1311 Å, with angles of 90.00, 90.00 and 90.00 degrees. The asymmetric unit holds Mo at (0.0000, 0.0000, 0.0000), Ru at (0.0000, 0.5000, 0.7500), W at (0.0000, 0.0000, 0.5000) and W at (0.0000, 0.5000, 0.2500).

# 10
A plane-wave DFT calculation with GGA-PBE was carried out for an optimized crystal structure of Zn6PdAu2.

The calculation puts the energy above the lowest structure with this stoichiometry at 0 meV/atom. Its density of states at the Fermi level is 1.7 states/eV/cell. For the formation energy, the calculation gives -0.259 eV/atom.

The space group is P-1 (No. 2) and the conventional cell measures 3.8650, 4.9168 and 8.2664 Å, with angles of 74.27, 76.52 and 66.89 degrees. The asymmetric unit holds Zn at (0.0014, 0.1696, 0.3303), Zn at (0.3322, 0.9385, 0.8978), Zn at (0.3416, 0.6024, 0.2145), Pd at (0.0000, 0.5000, 0.0000) and Au at (0.3277, 0.2686, 0.5755).

# 11
A plane-wave DFT calculation with GGA-PBE was carried out for an optimized crystal structure of CrNi2Ir.

Its density of states at the Fermi level is 6.3 states/eV/cell. For the formation energy, the calculation gives 0.191 eV/atom.

The space group is P2_1/m (No. 11) and the conventional cell measures 3.7293, 6.7857 and 4.4047 Å, with angles of 90.00, 114.98 and 90.00 degrees. The asymmetric unit holds Cr at (0.2314, 0.2500, 0.4639), Ni at (0.3596, 0.5564, 0.7181) and Ir at (0.0689, 0.7500, 0.1362).

# 12
A plane-wave DFT calculation with GGA-PBE was carried out for an optimized crystal structure of MgSc5In6.

Its density of states at the Fermi level is 14.5 states/eV/cell. For the formation energy, the calculation gives -0.389 eV/atom.

The space group is Immm (No. 71) and the conventional cell measures 4.5339, 8.6987 and 13.6655 Å, with angles of 90.00, 90.00 and 90.00 degrees. The asymmetric unit holds Mg at (0.0000, 0.0000, 0.0000), Sc at (0.0000, 0.0000, 0.3339), Sc at (0.0000, 0.5000, 0.0000), Sc at (0.0000, 0.5000, 0.3398), In at (0.0000, 0.2480, 0.5000) and In at (0.0000, 0.2510, 0.1689).

# 13
A plane-wave DFT calculation with GGA-PBE was carried out for an optimized crystal structure of Tl12Hg5As3.

The calculation puts the energy above the lowest structure with this stoichiometry at 103 meV/atom. Its density of states at the Fermi level is 64.1 states/eV/cell. For the formation energy, the calculation gives 0.112 eV/atom.

The space group is Ia-3d (No. 230) and the conventional cell measures 17.8927, 17.8927 and 17.8927 Å, with angles of 90.00, 90.00 and 90.00 degrees. The asymmetric unit holds Tl at (0.0146, 0.0804, 0.6514), Hg at (0.0000, 0.0000, 0.0000), Hg at (0.0000, 0.2500, 0.3750) and As at (0.0000, 0.2500, 0.1250).

# 14
A plane-wave DFT calculation with GGA-PBE was carried out for an optimized crystal structure of DyThSn.

The calculation puts the energy above the lowest structure with this stoichiometry at 456 meV/atom. Its density of states at the Fermi level is 16.6 states/eV/cell. For the formation energy, the calculation gives -0.052 eV/atom.

The space group is P4_2/mmc (No. 131) and the conventional cell measures 8.1689, 8.1689 and 6.2354 Å, with angles of 90.00, 90.00 and 90.00 degrees. The asymmetric unit holds Dy at (0.0000, 0.2062, 0.0000), Th at (0.2289, 0.5000, 0.5000) and Sn at (0.2314, 0.5000, 0.0000).

# 15
A plane-wave DFT calculation with GGA-PBE was carried out for an optimized crystal structure of PbBrCl2.

The calculation puts the energy above the lowest structure with this stoichiometry at 0 meV/atom. For the uncorrected formation energy, the calculation gives -0.682 eV/atom. Its density of states at the Fermi level is 0.4 states/eV/cell.

The space group is Pm (No. 6) and the conventional cell measures 4.8084, 5.4364 and 5.4555 Å, with angles of 90.00, 116.04 and 90.00 degrees. The asymmetric unit holds Pb at (0.0000, 0.0000, 0.0000), Br at (0.3816, 0.5000, 0.2380), Cl at (0.3189, 0.0000, 0.6890) and Cl at (0.8626, 0.5000, 0.7401).

# 16
A plane-wave DFT calculation with GGA-PBE was carried out for an optimized crystal structure of PAuS2F.

The calculation puts the energy above the lowest structure with this stoichiometry at 0 meV/atom. For the uncorrected formation energy, the calculation gives 0.880 eV/atom. Its density of states at the Fermi level is 5.0 states/eV/cell.

The space group is P4/mmm (No. 123) and the conventional cell measures 5.0690, 5.0690 and 3.5992 Å, with angles of 90.00, 90.00 and 90.00 degrees. The asymmetric unit holds P at (0.0000, 0.0000, 0.0000), Au at (0.5000, 0.5000, 0.0000), S at (0.0000, 0.5000, 0.5000) and F at (0.0000, 0.0000, 0.5000).

# 17
A plane-wave DFT calculation with GGA-PBE was carried out for an optimized crystal structure of LiNdAu.

The calculation puts the energy above the lowest structure with this stoichiometry at 61 meV/atom. Its density of states at the Fermi level is 3.0 states/eV/cell. For the formation energy, the calculation gives -0.470 eV/atom.

The space group is I4mm (No. 107) and the conventional cell measures 3.8162, 3.8162 and 9.4028 Å, with angles of 90.00, 90.00 and 90.00 degrees. The asymmetric unit holds Li at (0.0000, 0.0000, 0.0000), Nd at (0.0000, 0.0000, 0.3058) and Au at (0.0000, 0.0000, 0.6434).